Entry 1:
Below is a geometry-optimized Sr2LiHg16 structure, with properties calculated at the PBE-GGA level.

a = 8.1647 Å, b = 8.1647 Å, c = 8.1647 Å
α = 76.81°, β = 76.81°, γ = 76.81°
Positions (direct):
Sr 0.6446 0.6446 0.6446
Sr 0.3229 0.3229 0.3229
Li 0.9409 0.9409 0.9409
Hg 0.7019 0.0005 0.2987
Hg 0.0005 0.2987 0.7019
Hg 0.2987 0.7019 0.0005
Hg 0.0005 0.7019 0.2987
Hg 0.7019 0.2987 0.0005
Hg 0.2987 0.0005 0.7019
Hg 0.3422 0.9064 0.3422
Hg 0.9064 0.3422 0.3422
Hg 0.3422 0.3422 0.9064
Hg 0.5972 0.2299 0.5972
Hg 0.2299 0.5972 0.5972
Hg 0.5972 0.5972 0.2299
Hg 0.9371 0.5966 0.9371
Hg 0.5966 0.9371 0.9371
Hg 0.9371 0.9371 0.5966
Hg 0.1034 0.1034 0.1034

## Properties
calculated formation energy	-207	meV/atom

=====

Entry 2:
Below is a geometry-optimized Ba2InSbN structure, with properties calculated at the PBE-GGA level.

a = 5.7400 Å, b = 5.7400 Å, c = 4.6277 Å
α = 90.00°, β = 90.00°, γ = 90.00°
Positions (direct):
Sb 0.5000 0.5000 0.5000
N 0.0000 0.0000 0.0000
Ba 0.0000 0.5000 0.0000
Ba 0.5000 0.0000 0.0000
In 0.0000 0.0000 0.5000

## Properties
formation energy (no corrections)	-0.513	eV per atom

=====

Entry 3:
Below is a geometry-optimized Li2VSn structure, with properties calculated at the PBE-GGA level.

a = 7.4390 Å, b = 7.4390 Å, c = 5.9259 Å
α = 51.12°, β = 51.12°, γ = 90.00°
Positions (direct):
V 0.5000 0.5000 0.0000
V 0.2500 0.7500 0.5000
Sn 0.0000 0.0000 0.0000
Sn 0.7500 0.2500 0.5000
Li 0.6235 0.1250 0.2500
Li 0.1265 0.6250 0.2500
Li 0.3750 0.3765 0.7500
Li 0.8750 0.8735 0.7500

## Properties
calculated formation energy	299	meV/atom

=====

no.,total magnetic moment (μB per cell),DOS at the Fermi energy (states/eV/cell)
1,0.00,6.71
2,0.00,1.25
3,6.18,1.10